A relaxed Nd4Th3Tc2 crystal, computed with PBE-GGA.

POSCAR file:
```
Nd4Th3Tc2
1.0
8.790 -1.942 0.000
8.790 1.942 0.000
-3.732 0.000 8.087
Nd Th Tc
4 3 2
Cartesian
0.526 0.000 2.986
1.646 0.000 6.825
12.203 0.000 1.262
13.322 0.000 5.101
6.153 0.000 2.454
8.790 0.000 0.000
7.695 0.000 5.632
-1.742 0.000 7.454
15.590 0.000 0.633
```

Properties
* final energy: -62.461 eV per cell
* SG: C2/m (12)
* formation energy from the elements: -0.4 eV/f.u.

---

A relaxed Dy3ErAg2 crystal, computed with PBE-GGA.

POSCAR file:
```
Dy3ErAg2
1.0
-3.510 6.963 3.696
3.510 -6.963 3.696
3.510 6.963 -3.696
Dy Er Ag
6 2 4
Cartesian
3.510 -3.170 1.848
0.000 0.000 1.848
3.510 3.170 1.848
0.000 3.793 1.848
0.000 0.000 5.544
0.000 10.133 1.848
3.510 0.000 0.000
0.000 6.963 0.000
1.410 1.971 0.000
1.410 -1.971 3.696
2.099 8.934 0.000
2.099 4.992 3.696
```

Properties
* energy above the lowest structure with this stoichiometry: 1.39 eV per formula unit
* final energy: -47.752 eV per cell
* SG: Ibam (72)
* formation energy from the elements: 0.2 eV/f.u.

---

A relaxed RbSr2Sn2 crystal, computed with PBE-GGA.

POSCAR file:
```
RbSr2Sn2
1.0
-2.910 2.910 6.507
2.910 -2.910 6.507
2.910 2.910 -6.507
Rb Sr Sn
1 2 2
Cartesian
0.000 0.000 0.000
2.910 0.000 3.253
0.000 2.910 3.253
0.000 0.000 5.074
0.000 0.000 7.940
```

Properties
* energy above the lowest structure with this stoichiometry: 0.57 eV per formula unit
* final energy: -13.887 eV per cell
* SG: I4/mmm (139)
* formation energy from the elements: -1.5 eV/f.u.

---

A relaxed MgSi2Pd3 crystal, computed with PBE-GGA.

POSCAR file:
```
MgSi2Pd3
1.0
8.304 -1.932 0.000
8.304 1.932 0.000
-2.800 0.000 9.051
Mg Si Pd
3 6 9
Cartesian
0.000 0.000 0.000
0.568 0.000 6.318
13.239 0.000 2.733
2.802 0.000 1.095
4.485 0.000 4.999
6.982 0.000 1.899
6.825 0.000 7.151
9.323 0.000 4.052
11.006 0.000 7.956
-0.312 0.000 2.864
2.567 0.000 3.512
5.112 0.000 0.473
4.184 0.000 7.453
6.904 0.000 4.525
9.623 0.000 1.598
8.695 0.000 8.578
11.241 0.000 5.539
14.119 0.000 6.187
```

Properties
* final energy: -94.137 eV per cell
* SG: C2/m (12)
* formation energy (no corrections): -0.56 eV per atom

---

A relaxed Ta3AlPd crystal, computed with PBE-GGA.

POSCAR file:
```
Ta3AlPd
1.0
4.653 0.000 0.000
0.000 4.653 0.000
0.000 0.000 4.653
Ta Al Pd
3 1 1
Cartesian
0.000 0.000 2.327
0.000 2.327 0.000
2.327 0.000 0.000
0.000 0.000 0.000
2.327 2.327 2.327
```

Properties
* energy above the lowest structure with this stoichiometry: 0.00 eV per formula unit
* final energy: -38.083 eV per cell
* SG: Pm-3m (221)
* formation energy from the elements: 6.4 eV/f.u.

---

A relaxed FeAu crystal, computed with PBE-GGA.

POSCAR file:
```
FeAu
1.0
0.000 3.130 3.130
3.130 0.000 3.130
3.130 3.130 0.000
Fe Au
2 2
Cartesian
0.783 0.783 0.783
5.478 5.478 5.478
2.348 2.348 2.348
3.913 3.913 3.913
```

Properties
* final energy: -22.597 eV per cell
* SG: Fd-3m (227)
* formation energy from the elements: 0.4 eV/f.u.

---

A relaxed Ga4GeBi crystal, computed with PBE-GGA.

POSCAR file:
```
Ga4GeBi
1.0
0.000 4.015 4.015
4.015 0.000 4.015
4.015 4.015 0.000
Ga Ge Bi
4 1 1
Cartesian
0.998 0.998 0.998
3.017 3.017 0.998
3.017 0.998 3.017
0.998 3.017 3.017
6.023 6.023 6.023
4.015 4.015 4.015
```

Properties
* final energy: -19.632 eV per cell
* SG: F-43m (216)
* formation energy from the elements: 1.0 eV/f.u.

---

A relaxed MgSc2Os crystal, computed with PBE-GGA.

POSCAR file:
```
MgSc2Os
1.0
1.569 0.906 10.240
-1.569 0.906 10.240
0.000 -1.812 10.240
Mg Sc Os
1 2 1
Cartesian
0.000 0.000 0.000
0.000 0.000 3.125
0.000 0.000 27.595
0.000 0.000 15.360
```

Properties
* final energy: -25.021 eV per cell
* SG: R-3m (166)
* formation energy from the elements: 0.5 eV/f.u.

---

no.,N(E_F) (states/eV/f.u.)
1,10.9
2,7.5
3,8.0
4,2.5
5,5.5
6,1.5
7,2.2
8,4.7